No. 1
LaSm4Si4: relaxed, GGA-PBE.

Structure (CIF):
```
data_LaSm4Si4
_cell_length_a 9.363
_cell_length_b 9.363
_cell_length_c 5.888
_cell_angle_alpha 90.00
_cell_angle_beta 90.00
_cell_angle_gamma 90.00
_symmetry_space_group_name_H-M 'P 42/n'
_symmetry_Int_Tables_number 86
loop_
_symmetry_equiv_pos_as_xyz
'x,y,z'
'-x,-y,-z'
'-y,x+1/2,z+1/2'
'y,-x+1/2,-z+1/2'
'-x+1/2,-y+1/2,z'
'x+1/2,y+1/2,-z'
'y+1/2,-x,z+1/2'
'-y+1/2,x,-z+1/2'
loop_
_atom_site_label
_atom_site_type_symbol
_atom_site_fract_x
_atom_site_fract_y
_atom_site_fract_z
La1 La 0.250 0.250 0.250
Sm1 Sm 0.090 0.649 0.125
Si1 Si 0.035 0.600 0.626
```

## Properties
mass density = 5.49 g cm⁻³
final energy = -5.503 eV/atom
crystal system = tetragonal
raw formation energy = -0.45 eV per atom

***

No. 2
LaSm2Si: relaxed, GGA-PBE.

Structure (CIF):
```
data_LaSm2Si
_cell_length_a 3.882
_cell_length_b 3.882
_cell_length_c 7.469
_cell_angle_alpha 90.00
_cell_angle_beta 90.00
_cell_angle_gamma 90.00
_symmetry_space_group_name_H-M 'P 4/m m m'
_symmetry_Int_Tables_number 123
_symmetry_space_group_name_Hall '-P 4 2'
loop_
_atom_site_label
_atom_site_type_symbol
_atom_site_fract_x
_atom_site_fract_y
_atom_site_fract_z
La1 La 0.000 0.000 0.000
Sm1 Sm 0.500 0.500 0.303
Si1 Si 0.000 0.000 0.500
```

## Properties
mass density = 6.90 g cm⁻³
final energy = -5.194 eV/atom
crystal system = tetragonal
raw formation energy = -0.25 eV per atom

***

No. 3
LaSm2Si: relaxed, GGA-PBE.

Structure (CIF):
```
data_LaSm2Si
_cell_length_a 4.807
_cell_length_b 4.807
_cell_length_c 4.682
_cell_angle_alpha 90.00
_cell_angle_beta 90.00
_cell_angle_gamma 90.00
_symmetry_space_group_name_H-M 'P 4/m m m'
_symmetry_Int_Tables_number 123
_symmetry_space_group_name_Hall '-P 4 2'
loop_
_atom_site_label
_atom_site_type_symbol
_atom_site_fract_x
_atom_site_fract_y
_atom_site_fract_z
La1 La 0.000 0.000 0.000
Sm1 Sm 0.000 0.500 0.500
Si1 Si 0.500 0.500 0.000
```

## Properties
mass density = 7.18 g cm⁻³
final energy = -5.210 eV/atom
crystal system = tetragonal
raw formation energy = -0.26 eV per atom

***

No. 4
LaSmSi2: relaxed, GGA-PBE.

Structure (CIF):
```
data_LaSmSi2
_cell_length_a 3.963
_cell_length_b 5.948
_cell_length_c 8.292
_cell_angle_alpha 90.00
_cell_angle_beta 90.00
_cell_angle_gamma 90.00
_symmetry_space_group_name_H-M 'P m c 21'
_symmetry_Int_Tables_number 26
_symmetry_space_group_name_Hall 'P 2c -2'
loop_
_atom_site_label
_atom_site_type_symbol
_atom_site_fract_x
_atom_site_fract_y
_atom_site_fract_z
La1 La 0.000 0.134 0.000
Sm1 Sm 0.500 0.364 0.639
Si1 Si 0.000 0.377 0.356
Si2 Si 0.500 0.138 0.287
```

## Properties
mass density = 5.87 g cm⁻³
final energy = -5.878 eV/atom
crystal system = orthorhombic
raw formation energy = -0.76 eV per atom

***

No. 5
LaSm2Si: relaxed, GGA-PBE.

Structure (CIF):
```
data_LaSm2Si
_cell_length_a 7.950
_cell_length_b 9.300
_cell_length_c 6.460
_cell_angle_alpha 90.00
_cell_angle_beta 90.00
_cell_angle_gamma 90.00
_symmetry_space_group_name_H-M 'P n m a'
_symmetry_Int_Tables_number 62
_symmetry_space_group_name_Hall '-P 2ac 2n'
loop_
_atom_site_label
_atom_site_type_symbol
_atom_site_fract_x
_atom_site_fract_y
_atom_site_fract_z
La1 La 0.031 0.250 0.129
Sm1 Sm 0.187 0.054 0.628
Si1 Si 0.116 0.750 0.418
```

## Properties
mass density = 6.50 g cm⁻³
final energy = -5.316 eV/atom
crystal system = orthorhombic
raw formation energy = -0.37 eV per atom

***

No. 6
La12Sm5Si3: relaxed, GGA-PBE.

Structure (CIF):
```
data_La12Sm5Si3
_cell_length_a 17.721
_cell_length_b 17.721
_cell_length_c 17.721
_cell_angle_alpha 90.00
_cell_angle_beta 90.00
_cell_angle_gamma 90.00
_symmetry_space_group_name_H-M 'I a -3 d'
_symmetry_Int_Tables_number 230
_symmetry_space_group_name_Hall '-I 4bd 2c 3'
loop_
_atom_site_label
_atom_site_type_symbol
_atom_site_fract_x
_atom_site_fract_y
_atom_site_fract_z
La1 La 0.017 0.081 0.662
Sm1 Sm 0.000 0.000 0.000
Sm2 Sm 0.000 0.250 0.375
Si1 Si 0.000 0.250 0.125
```

## Properties
mass density = 5.97 g cm⁻³
final energy = -4.460 eV/atom
crystal system = cubic
raw formation energy = 0.49 eV per atom

***

No. 7
La2SmSi4: relaxed, GGA-PBE.

Structure (CIF):
```
data_La2SmSi4
_cell_length_a 3.996
_cell_length_b 4.442
_cell_length_c 18.238
_cell_angle_alpha 90.00
_cell_angle_beta 90.00
_cell_angle_gamma 90.00
_symmetry_space_group_name_H-M 'I m m m'
_symmetry_Int_Tables_number 71
_symmetry_space_group_name_Hall '-I 2 2'
loop_
_atom_site_label
_atom_site_type_symbol
_atom_site_fract_x
_atom_site_fract_y
_atom_site_fract_z
La1 La 0.000 0.000 0.182
Sm1 Sm 0.000 0.500 0.500
Si1 Si 0.000 0.000 0.361
Si2 Si 0.000 0.500 0.064
```

## Properties
mass density = 5.54 g cm⁻³
final energy = -5.877 eV/atom
crystal system = orthorhombic
raw formation energy = -0.70 eV per atom

***

No. 8
La2SiSn: relaxed, GGA-PBE.

Structure (CIF):
```
data_La2SiSn
_cell_length_a 8.436
_cell_length_b 8.436
_cell_length_c 6.856
_cell_angle_alpha 90.00
_cell_angle_beta 90.00
_cell_angle_gamma 90.00
_symmetry_space_group_name_H-M 'I -4 2 d'
_symmetry_Int_Tables_number 122
_symmetry_space_group_name_Hall 'I -4 2bw'
loop_
_atom_site_label
_atom_site_type_symbol
_atom_site_fract_x
_atom_site_fract_y
_atom_site_fract_z
La1 La 0.224 0.750 0.125
Si1 Si 0.000 0.000 0.000
Sn1 Sn 0.000 0.000 0.500
```

## Properties
mass density = 5.78 g cm⁻³
final energy = -5.207 eV/atom
crystal system = tetragonal
raw formation energy = -0.39 eV per atom

***

No. 9
La2Si2Sn: relaxed, GGA-PBE.

Structure (CIF):
```
data_La2Si2Sn
_cell_length_a 3.920
_cell_length_b 14.580
_cell_length_c 4.439
_cell_angle_alpha 90.00
_cell_angle_beta 90.00
_cell_angle_gamma 90.00
_symmetry_space_group_name_H-M 'C m m m'
_symmetry_Int_Tables_number 65
_symmetry_space_group_name_Hall '-C 2 2'
loop_
_atom_site_label
_atom_site_type_symbol
_atom_site_fract_x
_atom_site_fract_y
_atom_site_fract_z
La1 La 0.000 0.132 0.000
Si1 Si 0.000 0.297 0.500
Sn1 Sn 0.000 0.500 0.500
```

## Properties
mass density = 5.93 g cm⁻³
final energy = -5.682 eV/atom
crystal system = orthorhombic
raw formation energy = -0.74 eV per atom

***

No. 10
LaSi3Sn: relaxed, GGA-PBE.

Structure (CIF):
```
data_LaSi3Sn
_cell_length_a 5.481
_cell_length_b 5.481
_cell_length_c 5.481
_cell_angle_alpha 90.00
_cell_angle_beta 90.00
_cell_angle_gamma 90.00
_symmetry_space_group_name_H-M 'P m -3 m'
_symmetry_Int_Tables_number 221
_symmetry_space_group_name_Hall '-P 4 2 3'
loop_
_atom_site_label
_atom_site_type_symbol
_atom_site_fract_x
_atom_site_fract_y
_atom_site_fract_z
La1 La 0.000 0.000 0.000
Si1 Si 0.000 0.000 0.500
Sn1 Sn 0.500 0.500 0.500
```

## Properties
mass density = 3.45 g cm⁻³
final energy = -3.827 eV/atom
crystal system = cubic
raw formation energy = 1.21 eV per atom

***

No. 11
La4SiSn: relaxed, GGA-PBE.

Structure (CIF):
```
data_La4SiSn
_cell_length_a 9.049
_cell_length_b 14.341
_cell_length_c 6.174
_cell_angle_alpha 90.00
_cell_angle_beta 111.46
_cell_angle_gamma 90.00
_symmetry_space_group_name_H-M 'C 1 2/c 1'
_symmetry_Int_Tables_number 15
_symmetry_space_group_name_Hall '-C 2yc'
loop_
_atom_site_label
_atom_site_type_symbol
_atom_site_fract_x
_atom_site_fract_y
_atom_site_fract_z
La1 La 0.111 0.180 0.065
La2 La 0.201 0.421 0.350
Si1 Si 0.000 0.001 0.750
Sn1 Sn 0.000 0.379 0.750
```

## Properties
mass density = 6.26 g cm⁻³
final energy = -5.401 eV/atom
crystal system = monoclinic
raw formation energy = -0.55 eV per atom

***

No. 12
LaSi2Sn: relaxed, GGA-PBE.

Structure (CIF):
```
data_LaSi2Sn
_cell_length_a 7.636
_cell_length_b 7.636
_cell_length_c 6.932
_cell_angle_alpha 90.00
_cell_angle_beta 90.00
_cell_angle_gamma 90.00
_symmetry_space_group_name_H-M 'I -4 2 d'
_symmetry_Int_Tables_number 122
_symmetry_space_group_name_Hall 'I -4 2bw'
loop_
_atom_site_label
_atom_site_type_symbol
_atom_site_fract_x
_atom_site_fract_y
_atom_site_fract_z
La1 La 0.000 0.000 0.000
Si1 Si 0.208 0.250 0.625
Sn1 Sn 0.000 0.000 0.500
```

## Properties
mass density = 5.16 g cm⁻³
final energy = -5.028 eV/atom
crystal system = tetragonal
raw formation energy = -0.08 eV per atom

***

Question: final energy of number 7 (La2SmSi4)?
Answer: -5.877 eV/atom

***

Question: Among the records above, which one has the highest mass density?
Answer: number 3

***

Question: Which value of final energy does entry 10 give?
Answer: -3.827 eV/atom

***

Question: Which of these has the highest raw formation energy?
Answer: LaSi3Sn